# Cr3Br

Crystalline Cr3Br at its relaxed geometry (PBE, Alexandria).

Geometry as CIF:
```
data_Cr3Br
_chemical_formula_sum 'Cr6 Br2'
_symmetry_space_group_name_H-M 'P 1'
_symmetry_Int_Tables_number 1
_cell_length_a 6.1045
_cell_length_b 7.0071
_cell_length_c 3.0910
_cell_angle_alpha 90.00
_cell_angle_beta 90.00
_cell_angle_gamma 90.00
loop_
_symmetry_equiv_pos_as_xyz
'x,y,z'
loop_
_atom_site_label
_atom_site_fract_x
_atom_site_fract_y
_atom_site_fract_z
Cr1 0.0000 0.0000 0.0000
Cr2 0.2500 0.2500 0.5000
Cr3 0.2500 0.7500 0.5000
Cr4 0.5000 0.5000 0.0000
Cr5 0.7500 0.2500 0.5000
Cr6 0.7500 0.7500 0.5000
Br1 0.0000 0.5000 0.0000
Br2 0.5000 0.0000 0.0000
```

Results
space group: Cmmm (65)
formation energy without anion corrections: 0.74 eV/atom
excess energy over the best structure of this formula in the dataset: 30.55 kJ per mole of atoms
energy: -6.894 eV per atom
spin magnetization: 3.5 μB per formula unit

# LiHfAs2Br

Crystalline LiHfAs2Br at its relaxed geometry (PBE, Alexandria).

Geometry as CIF:
```
data_LiHfAs2Br
_chemical_formula_sum 'Li1 Hf1 As2 Br1'
_symmetry_space_group_name_H-M 'P 1'
_symmetry_Int_Tables_number 1
_cell_length_a 5.1217
_cell_length_b 5.1217
_cell_length_c 5.5722
_cell_angle_alpha 90.00
_cell_angle_beta 90.00
_cell_angle_gamma 90.00
loop_
_symmetry_equiv_pos_as_xyz
'x,y,z'
loop_
_atom_site_label
_atom_site_fract_x
_atom_site_fract_y
_atom_site_fract_z
Li1 0.0000 0.0000 0.0000
Hf1 0.5000 0.5000 0.5000
As1 0.0000 0.5000 0.5000
As2 0.5000 0.0000 0.5000
Br1 0.5000 0.5000 0.0000
```

Results
space group: P4/mmm (123)
formation energy without anion corrections: -0.34 eV/atom
excess energy over the best structure of this formula in the dataset: 0.00 kJ per mole of atoms
energy: -4.904 eV per atom
spin magnetization: 0.0 μB per formula unit

# Be2CoCu

Crystalline Be2CoCu at its relaxed geometry (PBE, Alexandria).

Geometry as CIF:
```
data_Be2CoCu
_chemical_formula_sum 'Be4 Co2 Cu2'
_symmetry_space_group_name_H-M 'P 1'
_symmetry_Int_Tables_number 1
_cell_length_a 2.6384
_cell_length_b 3.6703
_cell_length_c 7.7178
_cell_angle_alpha 90.00
_cell_angle_beta 90.00
_cell_angle_gamma 90.00
loop_
_symmetry_equiv_pos_as_xyz
'x,y,z'
loop_
_atom_site_label
_atom_site_fract_x
_atom_site_fract_y
_atom_site_fract_z
Be1 0.0000 0.0000 0.0000
Be2 0.0000 0.5000 0.2603
Be3 0.5000 0.0000 0.7603
Be4 0.5000 0.5000 0.5000
Co1 0.0000 0.5000 0.7430
Co2 0.5000 0.0000 0.2430
Cu1 0.0000 0.0000 0.5131
Cu2 0.5000 0.5000 0.0131
```

Results
space group: Imm2 (44)
energy of formation: -0.121 eV/atom
energy: -4.784 eV per atom
spin magnetization: 0.0 μB per formula unit

# NiPIrCl2

Crystalline NiPIrCl2 at its relaxed geometry (PBE, Alexandria).

Geometry as CIF:
```
data_NiPIrCl2
_chemical_formula_sum 'Ni1 P1 Ir1 Cl2'
_symmetry_space_group_name_H-M 'P 1'
_symmetry_Int_Tables_number 1
_cell_length_a 5.0151
_cell_length_b 5.0151
_cell_length_c 4.4210
_cell_angle_alpha 90.00
_cell_angle_beta 90.00
_cell_angle_gamma 90.00
loop_
_symmetry_equiv_pos_as_xyz
'x,y,z'
loop_
_atom_site_label
_atom_site_fract_x
_atom_site_fract_y
_atom_site_fract_z
Ni1 0.0000 0.0000 0.0000
P1 0.5000 0.5000 0.0000
Ir1 0.5000 0.5000 0.5000
Cl1 0.0000 0.5000 0.5000
Cl2 0.5000 0.0000 0.5000
```

Results
space group: P4/mmm (123)
formation energy without anion corrections: 0.74 eV/atom
excess energy over the best structure of this formula in the dataset: 0.00 kJ per mole of atoms
energy: -4.014 eV per atom
spin magnetization: 0.9 μB per formula unit

# Ca2TlW

Crystalline Ca2TlW at its relaxed geometry (PBE, Alexandria).

Geometry as CIF:
```
data_Ca2TlW
_chemical_formula_sum 'Ca4 Tl2 W2'
_symmetry_space_group_name_H-M 'P 1'
_symmetry_Int_Tables_number 1
_cell_length_a 4.5790
_cell_length_b 4.5790
_cell_length_c 9.4121
_cell_angle_alpha 90.00
_cell_angle_beta 90.00
_cell_angle_gamma 90.00
loop_
_symmetry_equiv_pos_as_xyz
'x,y,z'
loop_
_atom_site_label
_atom_site_fract_x
_atom_site_fract_y
_atom_site_fract_z
Ca1 0.0000 0.0000 0.0000
Ca2 0.0000 0.5000 0.2500
Ca3 0.5000 0.0000 0.7500
Ca4 0.5000 0.5000 0.5000
Tl1 0.0000 0.5000 0.7500
Tl2 0.5000 0.0000 0.2500
W1 0.0000 0.0000 0.5000
W2 0.5000 0.5000 0.0000
```

Results
space group: I-4m2 (119)
energy of formation: 0.724 eV/atom
excess energy over the best structure of this formula in the dataset: 22.53 kJ per mole of atoms
energy: -4.107 eV per atom
spin magnetization: 1.2 μB per formula unit

# YAg3Te3

Crystalline YAg3Te3 at its relaxed geometry (PBE, Alexandria).

Geometry as CIF:
```
data_YAg3Te3
_chemical_formula_sum 'Y2 Ag6 Te6'
_symmetry_space_group_name_H-M 'P 1'
_symmetry_Int_Tables_number 1
_cell_length_a 8.6278
_cell_length_b 8.6278
_cell_length_c 8.6278
_cell_angle_alpha 54.23
_cell_angle_beta 54.23
_cell_angle_gamma 54.23
loop_
_symmetry_equiv_pos_as_xyz
'x,y,z'
loop_
_atom_site_label
_atom_site_fract_x
_atom_site_fract_y
_atom_site_fract_z
Y1 0.1675 0.1675 0.1675
Y2 0.8325 0.8325 0.8325
Ag1 0.0116 0.7266 0.3753
Ag2 0.2734 0.6247 0.9884
Ag3 0.3753 0.0116 0.7266
Ag4 0.6247 0.9884 0.2734
Ag5 0.7266 0.3753 0.0116
Ag6 0.9884 0.2734 0.6247
Te1 0.1053 0.4266 0.7480
Te2 0.2520 0.8947 0.5734
Te3 0.4266 0.7480 0.1053
Te4 0.5734 0.2520 0.8947
Te5 0.7480 0.1053 0.4266
Te6 0.8947 0.5734 0.2520
```

Results
space group: R-3 (148)
formation energy without anion corrections: -0.55 eV/atom
energy: -4.043 eV per atom
spin magnetization: 0.0 μB per formula unit

# Zn2Ga2P

Crystalline Zn2Ga2P at its relaxed geometry (PBE, Alexandria).

Geometry as CIF:
```
data_Zn2Ga2P
_chemical_formula_sum 'Zn4 Ga4 P2'
_symmetry_space_group_name_H-M 'P 1'
_symmetry_Int_Tables_number 1
_cell_length_a 6.3532
_cell_length_b 6.3532
_cell_length_c 4.5995
_cell_angle_alpha 90.00
_cell_angle_beta 90.00
_cell_angle_gamma 90.00
loop_
_symmetry_equiv_pos_as_xyz
'x,y,z'
loop_
_atom_site_label
_atom_site_fract_x
_atom_site_fract_y
_atom_site_fract_z
Zn1 0.1384 0.3616 0.0000
Zn2 0.3616 0.8616 0.0000
Zn3 0.6384 0.1384 0.0000
Zn4 0.8616 0.6384 0.0000
Ga1 0.1633 0.6633 0.5000
Ga2 0.3367 0.1633 0.5000
Ga3 0.6633 0.8367 0.5000
Ga4 0.8367 0.3367 0.5000
P1 0.0000 0.0000 0.0000
P2 0.5000 0.5000 0.0000
```

Results
space group: P4/mbm (127)
energy of formation: 0.147 eV/atom
excess energy over the best structure of this formula in the dataset: 0.00 kJ per mole of atoms
energy: -2.655 eV per atom
spin magnetization: 0.0 μB per formula unit

# NaLiDy2Se4

Crystalline NaLiDy2Se4 at its relaxed geometry (PBE, Alexandria).

Geometry as CIF:
```
data_NaLiDy2Se4
_chemical_formula_sum 'Na1 Li1 Dy2 Se4'
_symmetry_space_group_name_H-M 'P 1'
_symmetry_Int_Tables_number 1
_cell_length_a 7.1252
_cell_length_b 4.1136
_cell_length_c 7.1685
_cell_angle_alpha 90.00
_cell_angle_beta 109.39
_cell_angle_gamma 90.00
loop_
_symmetry_equiv_pos_as_xyz
'x,y,z'
loop_
_atom_site_label
_atom_site_fract_x
_atom_site_fract_y
_atom_site_fract_z
Na1 0.0000 0.0000 0.0000
Li1 0.5000 0.5000 0.0000
Dy1 0.0000 0.5000 0.5000
Dy2 0.5000 0.0000 0.5000
Se1 0.2509 0.0000 0.7419
Se2 0.2571 0.5000 0.2617
Se3 0.7429 0.5000 0.7383
Se4 0.7491 0.0000 0.2581
```

Results
space group: P2/m (10)
formation energy without anion corrections: -1.69 eV/atom
energy: -4.990 eV per atom
spin magnetization: 0.0 μB per formula unit